Entry 1:
# CeYBr, relaxed, DFT GGA-PBE
# Excess energy over the best structure of this formula in the dataset   19 meV per atom
data_CeYBr
_chemical_formula_sum 'Ce2 Y2 Br2'
_cell_length_a 5.714
_cell_length_b 6.057
_cell_length_c 6.376
_cell_angle_alpha 118.11
_cell_angle_beta 115.18
_cell_angle_gamma 90.07
_symmetry_space_group_name_H-M 'P -1'
_symmetry_Int_Tables_number 2
_symmetry_space_group_name_Hall '-P 1'
loop_
_atom_site_label
_atom_site_type_symbol
_atom_site_fract_x
_atom_site_fract_y
_atom_site_fract_z
Ce1 Ce 0.168 0.435 0.369
Y1 Y 0.436 0.184 0.866
Br1 Br 0.129 0.882 0.263



Entry 2:
# LaHoGa2Ni2, relaxed, DFT GGA-PBE
# ΔH_f (0 K)   -579 meV/atom
data_LaHoGa2Ni2
_chemical_formula_sum 'La1 Ho1 Ga2 Ni2'
_cell_length_a 4.3292
_cell_length_b 4.3292
_cell_length_c 7.3269
_cell_angle_alpha 90.00
_cell_angle_beta 90.00
_cell_angle_gamma 120.00
_symmetry_space_group_name_H-M 'P -3 m 1'
_symmetry_Int_Tables_number 164
_symmetry_space_group_name_Hall '-P 3 2"'
loop_
_atom_site_label
_atom_site_type_symbol
_atom_site_fract_x
_atom_site_fract_y
_atom_site_fract_z
La1 La 0.0000 0.0000 0.0000
Ho1 Ho 0.0000 0.0000 0.5000
Ga1 Ga 0.3333 0.6667 0.2787
Ni1 Ni 0.3333 0.6667 0.7178



Entry 3:
# Nd4OsSI2, relaxed, DFT GGA-PBE
# Uncorrected energy   -45.66 eV per cell
data_Nd4OsSI2
_chemical_formula_sum 'Nd4 Os1 S1 I2'
_cell_length_a 7.523
_cell_length_b 4.148
_cell_length_c 8.231
_cell_angle_alpha 90.00
_cell_angle_beta 106.52
_cell_angle_gamma 90.00
_symmetry_space_group_name_H-M 'P 1 2/m 1'
_symmetry_Int_Tables_number 10
_symmetry_space_group_name_Hall '-P 2y'
loop_
_atom_site_label
_atom_site_type_symbol
_atom_site_fract_x
_atom_site_fract_y
_atom_site_fract_z
Nd1 Nd 0.214 0.000 0.188
Nd2 Nd 0.262 0.500 0.814
Os1 Os 0.000 0.500 0.000
S1 S 0.500 0.000 0.000
I1 I 0.000 0.000 0.500
I2 I 0.500 0.500 0.500



Entry 4:
# Al2RhW, relaxed, DFT GGA-PBE
# Excess energy over the best structure of this formula in the dataset   224 meV per atom
# ΔH_f (0 K)   -225 meV/atom
data_Al2RhW
_chemical_formula_sum 'Al4 Rh2 W2'
_cell_length_a 3.745
_cell_length_b 3.745
_cell_length_c 8.464
_cell_angle_alpha 90.00
_cell_angle_beta 90.00
_cell_angle_gamma 90.00
_symmetry_space_group_name_H-M 'I -4 m 2'
_symmetry_Int_Tables_number 119
_symmetry_space_group_name_Hall 'I -4 -2'
loop_
_atom_site_label
_atom_site_type_symbol
_atom_site_fract_x
_atom_site_fract_y
_atom_site_fract_z
Al1 Al 0.000 0.000 0.000
Al2 Al 0.000 0.500 0.250
Rh1 Rh 0.000 0.500 0.750
W1 W 0.000 0.000 0.500



Entry 5:
# Np4Br, relaxed, DFT GGA-PBE
# Uncorrected energy   -47.75 eV per cell
data_Np4Br
_chemical_formula_sum 'Np4 Br1'
_cell_length_a 5.322
_cell_length_b 5.322
_cell_length_c 5.322
_cell_angle_alpha 90.00
_cell_angle_beta 90.00
_cell_angle_gamma 90.00
_symmetry_space_group_name_H-M 'P m -3 m'
_symmetry_Int_Tables_number 221
_symmetry_space_group_name_Hall '-P 4 2 3'
loop_
_atom_site_label
_atom_site_type_symbol
_atom_site_fract_x
_atom_site_fract_y
_atom_site_fract_z
Np1 Np 0.000 0.000 0.000
Np2 Np 0.000 0.500 0.500
Br1 Br 0.500 0.500 0.500



Entry 6:
# MnPb4Se, relaxed, DFT GGA-PBE
# Uncorrected energy   -97.82 eV per cell
data_MnPb4Se
_chemical_formula_sum 'Mn4 Pb16 Se4'
_cell_length_a 9.010
_cell_length_b 9.010
_cell_length_c 9.010
_cell_angle_alpha 90.00
_cell_angle_beta 90.00
_cell_angle_gamma 90.00
_symmetry_space_group_name_H-M 'F -4 3 m'
_symmetry_Int_Tables_number 216
_symmetry_space_group_name_Hall 'F -4 2 3'
loop_
_atom_site_label
_atom_site_type_symbol
_atom_site_fract_x
_atom_site_fract_y
_atom_site_fract_z
Mn1 Mn 0.000 0.000 0.000
Pb1 Pb 0.126 0.126 0.626
Se1 Se 0.250 0.250 0.250



Entry 7:
# Co2Cl, relaxed, DFT GGA-PBE
# Excess energy over the best structure of this formula in the dataset   223 meV per atom
data_Co2Cl
_chemical_formula_sum 'Co8 Cl4'
_cell_length_a 8.737
_cell_length_b 2.906
_cell_length_c 8.412
_cell_angle_alpha 90.00
_cell_angle_beta 100.08
_cell_angle_gamma 90.00
_symmetry_space_group_name_H-M 'C 1 2/m 1'
_symmetry_Int_Tables_number 12
_symmetry_space_group_name_Hall '-C 2y'
loop_
_atom_site_label
_atom_site_type_symbol
_atom_site_fract_x
_atom_site_fract_y
_atom_site_fract_z
Co1 Co 0.046 0.000 0.371
Co2 Co 0.169 0.500 0.587
Cl1 Cl 0.166 0.500 0.201



Entry 8:
# BaTeSeI2, relaxed, DFT GGA-PBE
# Excess energy over the best structure of this formula in the dataset   0 meV per atom
data_BaTeSeI2
_chemical_formula_sum 'Ba1 Te1 Se1 I2'
_cell_length_a 5.820
_cell_length_b 5.820
_cell_length_c 5.713
_cell_angle_alpha 90.00
_cell_angle_beta 90.00
_cell_angle_gamma 90.00
_symmetry_space_group_name_H-M 'P 4/m m m'
_symmetry_Int_Tables_number 123
_symmetry_space_group_name_Hall '-P 4 2'
loop_
_atom_site_label
_atom_site_type_symbol
_atom_site_fract_x
_atom_site_fract_y
_atom_site_fract_z
Ba1 Ba 0.000 0.000 0.000
Te1 Te 0.500 0.500 0.000
Se1 Se 0.500 0.500 0.500
I1 I 0.000 0.500 0.500



Number 1: density 6.021 g/cm3. Number 2: density 7.829 g/cm3. Number 3: density 7.102 g/cm3. Number 4: density 9.533 g/cm3. Number 5: density 11.321 g/cm3. Number 6: density 8.742 g/cm3. Number 7: density 4.843 g/cm3. Number 8: density 5.129 g/cm3.